The following is a DFT calculation (PBE with a Hubbard U) of a relaxed structure of RbCrP2O8.

## Properties
The value obtained for the raw total energy is -6.84 eV/atom.

Structure (POSCAR):
```
RbCrP2O8
1.0
4.913 0.000 0.000
-2.456 4.254 0.000
0.000 0.000 8.672
Rb Cr P O
1 1 2 8
Direct
0.000 0.000 0.000 Rb
0.000 0.000 0.500 Cr
0.333 0.667 0.690 P
0.667 0.333 0.310 P
0.064 0.346 0.629 O
0.282 0.936 0.629 O
0.333 0.667 0.865 O
0.346 0.282 0.371 O
0.654 0.718 0.629 O
0.667 0.333 0.135 O
0.718 0.064 0.371 O
0.936 0.654 0.371 O
```